The following is a DFT calculation (meta-GGA SCAN) of a PBEsol-optimized structure of ScGeSb2.

Calculated values
Total magnetic moment, μB per formula unit: 0.0
Formation energy (no corrections), eV/atom: -0.093

The structure in CIF format:
```
data_ScGeSb2
_symmetry_space_group_name_H-M 'I -4 2 d'
_symmetry_Int_Tables_number 122
_symmetry_space_group_name_Hall 'I -4 2bw'
_cell_length_a 6.5260
_cell_length_b 6.5260
_cell_length_c 12.1561
_cell_angle_alpha 90.00
_cell_angle_beta 90.00
_cell_angle_gamma 90.00
loop_
_atom_site_label
_atom_site_type_symbol
_atom_site_fract_x
_atom_site_fract_y
_atom_site_fract_z
Sc1 Sc 0.0000 0.0000 0.0000
Ge1 Ge 0.0000 0.0000 0.5000
Sb1 Sb 0.2318 0.2500 0.6250
```



The following is a DFT calculation (meta-GGA SCAN) of a PBEsol-optimized structure of Sc2GeSbSe.

Calculated values
Total magnetic moment, μB per formula unit: 0.0
Formation energy (no corrections), eV/atom: -0.128

The structure in CIF format:
```
data_Sc2GeSbSe
_symmetry_space_group_name_H-M 'P 4/m m m'
_symmetry_Int_Tables_number 123
_symmetry_space_group_name_Hall '-P 4 2'
_cell_length_a 5.1553
_cell_length_b 5.1553
_cell_length_c 4.7017
_cell_angle_alpha 90.00
_cell_angle_beta 90.00
_cell_angle_gamma 90.00
loop_
_atom_site_label
_atom_site_type_symbol
_atom_site_fract_x
_atom_site_fract_y
_atom_site_fract_z
Sc1 Sc 0.0000 0.5000 0.0000
Ge1 Ge 0.0000 0.0000 0.0000
Sb1 Sb 0.5000 0.5000 0.5000
Se1 Se 0.0000 0.0000 0.5000
```



The following is a DFT calculation (meta-GGA SCAN) of a PBEsol-optimized structure of Ge2Sb2Se.

Calculated values
Total magnetic moment, μB per formula unit: 0.0
Formation energy (no corrections), eV/atom: 0.224

The structure in CIF format:
```
data_Ge2Sb2Se
_symmetry_space_group_name_H-M 'I 4/m m m'
_symmetry_Int_Tables_number 139
_symmetry_space_group_name_Hall '-I 4 2'
_cell_length_a 3.8771
_cell_length_b 3.8771
_cell_length_c 15.2175
_cell_angle_alpha 90.00
_cell_angle_beta 90.00
_cell_angle_gamma 90.00
loop_
_atom_site_label
_atom_site_type_symbol
_atom_site_fract_x
_atom_site_fract_y
_atom_site_fract_z
Ge1 Ge 0.0000 0.5000 0.2500
Sb1 Sb 0.0000 0.0000 0.1019
Se1 Se 0.0000 0.0000 0.5000
```



Across the entries above, E_tot takes the values -27.054, -21.108, -26.331 eV/atom, respectively.
Across the entries above, D(E_F) takes the values 13.8, 4.0, 4.1 states/eV/cell, respectively.